[1]
TaTiN2F | GGA-PBE | relaxed

Unit cell a=4.001 b=4.001 c=3.629 alpha=90.00 beta=90.00 gamma=90.00
Last column: magnetic moment on the atom in μB.
Fractional coordinates of all 5 atoms:
N1 0.500 0.000 0.000  -0.04
N2 0.000 0.500 0.000  -0.04
Ti1 0.000 0.000 0.000  0.12
F1 0.000 0.000 0.500  0.05
Ta1 0.500 0.500 0.500  1.14

* D(E_F): 0.571 states/eV/atom
* crystal system: tetragonal
* uncorrected formation energy: -0.427 eV per atom
* polymorph energy (0 for the lowest one): 0.2841 eV/atom
* raw total energy: -40.41 eV per cell

[2]
Pr4Te2CCl | GGA-PBE | relaxed

Unit cell a=4.134 b=7.579 c=7.383 alpha=72.14 beta=90.00 gamma=90.00
Fractional coordinates of all 8 atoms:
Pr1 0.000 0.293 0.273
Te1 0.500 0.000 0.500
Pr2 0.000 0.707 0.727
Pr3 0.500 0.697 0.294
Pr4 0.500 0.303 0.706
C1 0.000 0.500 0.500
Te2 0.000 0.000 0.000
Cl1 0.500 0.500 0.000

* D(E_F): 0.366 states/eV/atom
* crystal system: monoclinic
* uncorrected formation energy: -1.134 eV per atom
* raw total energy: -45.55 eV per cell

[3]
PaHgO2 | GGA-PBE | relaxed

Unit cell a=3.825 b=3.825 c=11.178 alpha=90.00 beta=90.00 gamma=120.00
Last column: magnetic moment on the atom in μB.
Fractional coordinates of all 8 atoms:
O1 0.000 0.000 0.685  0.00
O2 0.667 0.333 0.437  0.00
Hg1 0.333 0.667 0.901  0.00
Hg2 0.667 0.333 0.099  0.00
Pa1 0.333 0.667 0.357  0.06
Pa2 0.667 0.333 0.643  0.06
O3 0.000 0.000 0.315  0.00
O4 0.333 0.667 0.563  0.00

* D(E_F): 0.751 states/eV/atom
* crystal system: trigonal
* uncorrected formation energy: -2.544 eV per atom
* polymorph energy (0 for the lowest one): 0.0000 eV/atom
* raw total energy: -59.78 eV per cell

[4]
Ta2IrPb | GGA-PBE | relaxed

Unit cell a=4.019 b=4.228 c=4.316 alpha=90.00 beta=90.00 gamma=90.00
Fractional coordinates of all 4 atoms:
Pb1 0.000 0.500 0.500
Ir1 0.500 0.000 0.500
Ta1 0.000 0.000 0.000
Ta2 0.500 0.500 0.000

* D(E_F): 0.833 states/eV/atom
* crystal system: orthorhombic
* ΔE_f: 187 meV per atom
* raw total energy: -35.53 eV per cell

[5]
BaCdSiAu6 | GGA-PBE | relaxed

Unit cell a=8.728 b=9.181 c=8.864 alpha=121.19 beta=119.49 gamma=90.00
Fractional coordinates of all 18 atoms:
Au1 0.475 0.636 0.307
Au2 0.112 0.862 0.224
Cd1 0.000 0.000 0.500
Au3 0.441 0.691 0.882
Au4 0.832 0.636 0.307
Au5 0.168 0.829 0.693
Au6 0.525 0.364 0.693
Si1 0.500 0.000 0.000
Au7 0.525 0.829 0.693
Si2 0.500 0.500 0.000
Au8 0.888 0.138 0.776
Ba1 0.149 0.399 0.298
Cd2 0.500 0.000 0.500
Ba2 0.851 0.601 0.702
Au9 0.475 0.171 0.307
Au10 0.832 0.171 0.307
Au11 0.168 0.364 0.693
Au12 0.559 0.309 0.118

* D(E_F): 0.374 states/eV/atom
* crystal system: orthorhombic
* uncorrected formation energy: -0.131 eV per atom
* raw total energy: -58.21 eV per cell

[6]
Al2FeHOs | GGA-PBE | relaxed

Unit cell a=4.161 b=4.161 c=3.135 alpha=90.00 beta=90.00 gamma=90.00
Last column: magnetic moment on the atom in μB.
Fractional coordinates of all 5 atoms:
Fe1 0.000 0.000 0.500  1.10
Al1 0.000 0.500 0.000  -0.01
Al2 0.500 0.000 0.000  -0.01
Os1 0.500 0.500 0.500  0.11
H1 0.000 0.000 0.000  -0.01

* D(E_F): 0.570 states/eV/atom
* crystal system: tetragonal
* raw total energy: -31.81 eV per cell

[7]
CeHgPd | GGA-PBE | relaxed

Unit cell a=3.762 b=3.762 c=5.569 alpha=109.74 beta=109.74 gamma=90.00
Last column: magnetic moment on the atom in μB.
Fractional coordinates of all 3 atoms:
Hg1 0.290 0.290 0.580  0.02
Ce1 0.605 0.605 0.211  0.74
Pd1 0.955 0.955 0.909  -0.02

* D(E_F): 2.028 states/eV/atom
* crystal system: tetragonal
* ΔE_f: -481 meV per atom
* polymorph energy (0 for the lowest one): 0.1237 eV/atom
* raw total energy: -12.87 eV per cell

[8]
Ac3Al3Pd | GGA-PBE | relaxed

Unit cell a=4.615 b=6.356 c=14.982 alpha=82.08 beta=81.14 gamma=68.71
Fractional coordinates of all 14 atoms:
Ac1 0.487 0.643 0.384
Ac2 0.513 0.357 0.616
Al1 0.187 0.164 0.463
Al2 0.907 0.113 0.074
Al3 0.813 0.836 0.537
Al4 0.958 0.849 0.234
Ac3 0.257 0.255 0.230
Pd1 0.233 0.919 0.616
Ac4 0.613 0.693 0.082
Pd2 0.767 0.081 0.384
Ac5 0.743 0.745 0.770
Ac6 0.387 0.307 0.918
Al5 0.093 0.887 0.926
Al6 0.042 0.151 0.766

* D(E_F): 0.955 states/eV/atom
* crystal system: monoclinic
* ΔE_f: -452 meV per atom
* raw total energy: -63.82 eV per cell

[9]
RbNiSb2I | GGA-PBE | relaxed

Unit cell a=4.865 b=7.833 c=4.865 alpha=90.00 beta=90.00 gamma=90.00
Fractional coordinates of all 5 atoms:
Ni1 0.000 0.000 0.000
Sb1 0.000 0.000 0.500
Rb1 0.000 0.500 0.000
Sb2 0.500 0.000 0.000
I1 0.500 0.500 0.500

* D(E_F): 0.173 states/eV/atom
* crystal system: tetragonal
* uncorrected formation energy: -0.208 eV per atom
* polymorph energy (0 for the lowest one): 0.0000 eV/atom
* raw total energy: -17.58 eV per cell

[10]
CeCd5 | GGA-PBE | relaxed

Unit cell a=3.162 b=3.162 c=15.879 alpha=90.00 beta=90.00 gamma=120.00
Fractional coordinates of all 6 atoms:
Cd1 0.667 0.333 0.821
Cd2 0.667 0.333 0.179
Cd3 0.000 0.000 0.660
Cd4 0.667 0.333 0.500
Cd5 0.000 0.000 0.340
Ce1 0.000 0.000 0.000

* D(E_F): 0.848 states/eV/atom
* crystal system: hexagonal
* ΔE_f: -54 meV per atom
* raw total energy: -10.83 eV per cell

[11]
Na4Dy3AlSe8 | GGA-PBE | relaxed

Unit cell a=8.136 b=8.436 c=8.136 alpha=118.85 beta=120.00 gamma=90.00
Fractional coordinates of all 16 atoms:
Dy1 0.500 0.500 0.000
Na1 0.000 0.000 0.500
Na2 0.500 0.000 0.000
Na3 0.000 0.000 0.000
Na4 0.500 0.000 0.500
Al1 0.000 0.500 0.000
Se1 0.229 0.720 0.991
Se2 0.771 0.280 0.009
Se3 0.256 0.269 0.513
Se4 0.230 0.720 0.459
Dy2 0.500 0.500 0.500
Dy3 0.000 0.500 0.500
Se5 0.762 0.720 0.991
Se6 0.744 0.731 0.487
Se7 0.770 0.280 0.541
Se8 0.238 0.280 0.009

* crystal system: trigonal
* uncorrected formation energy: -1.492 eV per atom
* raw total energy: -74.57 eV per cell

[12]
HfTcAu2 | GGA-PBE | relaxed

Unit cell a=3.863 b=3.863 c=10.449 alpha=79.35 beta=79.35 gamma=90.00
Fractional coordinates of all 8 atoms:
Tc1 0.250 0.750 0.500
Tc2 0.500 0.500 0.000
Hf1 0.000 0.000 0.000
Au1 0.131 0.625 0.250
Hf2 0.750 0.250 0.500
Au2 0.619 0.125 0.250
Au3 0.375 0.381 0.750
Au4 0.875 0.869 0.750

* D(E_F): 1.022 states/eV/atom
* crystal system: tetragonal
* ΔE_f: 173 meV per atom
* polymorph energy (0 for the lowest one): 0.1550 eV/atom
* raw total energy: -52.36 eV per cell

[13]
TlRh2W | GGA-PBE | relaxed

Unit cell a=5.083 b=5.083 c=5.083 alpha=134.59 beta=134.59 gamma=66.16
Fractional coordinates of all 4 atoms:
W1 0.750 0.250 0.500
Rh1 0.000 0.000 0.000
Rh2 0.250 0.750 0.500
Tl1 0.500 0.500 0.000

* D(E_F): 0.984 states/eV/atom
* crystal system: tetragonal
* ΔE_f: 359 meV per atom
* polymorph energy (0 for the lowest one): 0.3736 eV/atom
* raw total energy: -28.58 eV per cell

[14]
Ba2SrRu | GGA-PBE | relaxed

Unit cell a=11.511 b=11.511 c=11.511 alpha=21.53 beta=21.53 gamma=21.53
Last column: magnetic moment on the atom in μB.
Fractional coordinates of all 4 atoms:
Ru1 0.250 0.250 0.250  0.82
Ba1 0.528 0.528 0.528  -0.03
Sr1 0.750 0.750 0.750  -0.01
Ba2 0.972 0.972 0.972  -0.03

* D(E_F): 1.083 states/eV/atom
* crystal system: trigonal
* ΔE_f: 453 meV per atom
* polymorph energy (0 for the lowest one): 0.1421 eV/atom
* raw total energy: -12.99 eV per cell

[15]
TiN | GGA-PBE | relaxed

Unit cell a=3.281 b=4.710 c=10.267 alpha=90.00 beta=90.00 gamma=90.00
Fractional coordinates of all 12 atoms:
N1 0.500 0.351 0.500
N2 0.500 0.171 0.168
Ti1 0.000 0.940 0.142
N3 0.000 0.829 0.668
Ti2 0.000 0.940 0.858
Ti3 0.500 0.060 0.642
N4 0.500 0.171 0.832
Ti4 0.500 0.060 0.358
Ti5 0.500 0.380 0.000
Ti6 0.000 0.620 0.500
N5 0.000 0.649 0.000
N6 0.000 0.829 0.332

* D(E_F): 0.639 states/eV/atom
* crystal system: orthorhombic
* uncorrected formation energy: -1.298 eV per atom
* raw total energy: -112.90 eV per cell

[16]
AgRhBr2 | GGA-PBE | relaxed

Unit cell a=7.009 b=7.009 c=7.009 alpha=150.93 beta=140.40 gamma=49.87
Fractional coordinates of all 4 atoms:
Br1 0.611 0.611 0.000
Rh1 0.750 0.250 0.500
Br2 0.889 0.889 0.000
Ag1 0.250 0.750 0.500

* D(E_F): 0.025 states/eV/atom
* crystal system: orthorhombic
* uncorrected formation energy: -0.080 eV per atom
* polymorph energy (0 for the lowest one): 0.0000 eV/atom
* raw total energy: -13.87 eV per cell

[17]
BiH3Se | GGA-PBE | relaxed

Unit cell a=4.109 b=4.109 c=4.109 alpha=90.00 beta=90.00 gamma=90.00
Last column: magnetic moment on the atom in μB.
Fractional coordinates of all 5 atoms:
H1 0.500 0.000 0.000  0.02
Se1 0.500 0.500 0.500  0.26
H2 0.000 0.500 0.000  0.01
H3 0.000 0.000 0.500  -0.01
Bi1 0.000 0.000 0.000  -0.02

* D(E_F): 0.520 states/eV/atom
* crystal system: cubic
* polymorph energy (0 for the lowest one): 0.0000 eV/atom
* raw total energy: -13.93 eV per cell

[18]
SrReN3 | GGA-PBE | relaxed

Unit cell a=5.309 b=7.715 c=5.193 alpha=82.80 beta=108.23 gamma=92.61
Last column: magnetic moment on the atom in μB.
Fractional coordinates of all 10 atoms:
N1 0.265 0.439 0.759  0.00
N2 0.706 0.555 0.334  0.17
Sr1 0.157 0.516 0.201  0.04
N3 0.071 0.841 0.059  0.00
Re1 0.008 0.061 0.058  0.01
N4 0.143 0.148 0.404  0.00
Sr2 0.633 0.022 0.436  0.01
N5 0.648 0.681 0.404  0.19
N6 0.642 0.123 0.911  0.00
Re2 0.291 0.213 0.762  0.00

* D(E_F): 0.384 states/eV/atom
* crystal system: triclinic
* uncorrected formation energy: -0.341 eV per atom
* raw total energy: -81.62 eV per cell

[19]
CeNdHo2Se4 | GGA-PBE | relaxed

Unit cell a=4.084 b=7.287 c=7.104 alpha=71.21 beta=90.00 gamma=90.00
Last column: magnetic moment on the atom in μB.
Fractional coordinates of all 8 atoms:
Se1 0.500 0.235 0.756  0.00
Ho1 0.500 0.000 0.500  0.00
Nd1 0.000 0.500 0.500  0.02
Se2 0.500 0.765 0.244  0.00
Se3 0.000 0.235 0.254  -0.01
Ce1 0.500 0.500 0.000  0.81
Ho2 0.000 0.000 0.000  0.01
Se4 0.000 0.765 0.746  -0.01

* D(E_F): 1.070 states/eV/atom
* crystal system: monoclinic
* uncorrected formation energy: -1.787 eV per atom
* raw total energy: -48.09 eV per cell

[20]
Rb2MgPF6 | GGA-PBE | relaxed

Unit cell a=6.344 b=6.344 c=6.019 alpha=58.20 beta=58.20 gamma=90.00
Last column: magnetic moment on the atom in μB.
Fractional coordinates of all 10 atoms:
F1 0.234 0.234 0.532  0.02
F2 0.722 0.278 0.000  0.02
Rb1 0.250 0.750 0.500  0.00
Rb2 0.750 0.250 0.500  0.00
P1 0.000 0.000 0.000  0.44
Mg1 0.500 0.500 0.000  0.01
F3 0.278 0.278 0.000  0.02
F4 0.278 0.722 0.000  0.02
F5 0.766 0.766 0.468  0.02
F6 0.722 0.722 0.000  0.02

* D(E_F): 0.574 states/eV/atom
* crystal system: tetragonal
* uncorrected formation energy: -2.447 eV per atom
* raw total energy: -44.64 eV per cell

[21]
Ba2TbTlS5 | GGA-PBE | relaxed

Unit cell a=4.177 b=9.424 c=13.035 alpha=90.00 beta=90.00 gamma=102.80
Fractional coordinates of all 18 atoms:
Ba1 0.864 0.728 0.813
S1 0.314 0.627 0.374
S2 0.290 0.580 0.655
Tb1 0.212 0.424 0.017
S3 0.710 0.420 0.155
Tb2 0.788 0.576 0.517
Ba2 0.136 0.272 0.313
Tl1 0.545 0.089 0.946
S4 0.686 0.373 0.874
S5 0.356 0.712 0.002
S6 0.053 0.107 0.061
S7 0.506 0.012 0.270
Tl2 0.455 0.911 0.446
S8 0.494 0.988 0.770
S9 0.947 0.893 0.561
Ba3 0.882 0.764 0.185
Ba4 0.118 0.236 0.685
S10 0.644 0.288 0.502

* crystal system: orthorhombic
* uncorrected formation energy: -1.581 eV per atom
* raw total energy: -91.41 eV per cell

[22]
PaTc2Te | GGA-PBE | relaxed

Unit cell a=3.707 b=4.520 c=4.520 alpha=90.00 beta=90.00 gamma=90.00
Fractional coordinates of all 4 atoms:
Te1 0.500 0.000 0.000
Tc1 0.000 0.500 0.000
Pa1 0.500 0.500 0.500
Tc2 0.000 0.000 0.500

* D(E_F): 0.743 states/eV/atom
* crystal system: tetragonal
* uncorrected formation energy: -0.106 eV per atom
* polymorph energy (0 for the lowest one): 0.0000 eV/atom
* raw total energy: -33.79 eV per cell

[23]
K3MnV | GGA-PBE | relaxed

Unit cell a=6.541 b=6.541 c=6.541 alpha=90.00 beta=90.00 gamma=90.00
Last column: magnetic moment on the atom in μB.
Fractional coordinates of all 5 atoms:
K1 0.000 0.500 0.000  0.04
Mn1 0.500 0.500 0.500  4.39
K2 0.500 0.000 0.000  0.04
V1 0.000 0.000 0.000  3.33
K3 0.000 0.000 0.500  0.04

* D(E_F): 1.795 states/eV/atom
* crystal system: cubic
* ΔE_f: 1397 meV per atom
* raw total energy: -14.60 eV per cell

[24]
YZnRe2 | GGA-PBE | relaxed

Unit cell a=5.419 b=5.419 c=2.672 alpha=90.00 beta=90.00 gamma=117.18
Last column: magnetic moment on the atom in μB.
Fractional coordinates of all 4 atoms:
Zn1 0.000 0.500 0.500  0.00
Y1 0.500 0.000 0.500  0.12
Re1 0.500 0.500 0.000  0.01
Re2 0.000 0.000 0.000  0.01

* D(E_F): 1.044 states/eV/atom
* crystal system: orthorhombic
* ΔE_f: 596 meV per atom
* raw total energy: -30.25 eV per cell

[25]
Sm6Ni2I3Cl | GGA-PBE | relaxed

Unit cell a=7.262 b=7.262 c=8.101 alpha=98.56 beta=98.56 gamma=119.97
Fractional coordinates of all 12 atoms:
Sm1 0.574 0.937 0.815
I1 0.500 0.500 0.500
Sm2 0.063 0.426 0.185
I2 0.161 0.839 0.500
I3 0.839 0.161 0.500
Sm3 0.698 0.698 0.184
Sm4 0.302 0.302 0.816
Sm5 0.426 0.063 0.185
Ni1 0.667 0.333 0.000
Sm6 0.937 0.574 0.815
Ni2 0.333 0.667 0.000
Cl1 0.000 0.000 0.000

* D(E_F): 0.532 states/eV/atom
* crystal system: monoclinic
* uncorrected formation energy: -0.845 eV per atom
* raw total energy: -56.52 eV per cell

| no. | calculated volume (Å³/cell) | magnetic moment (μB/f.u.) |
| --- | --- | --- |
| 1 | 58.1 | 1.59 |
| 2 | 220.1 | 0.00 |
| 3 | 141.6 | 0.07 |
| 4 | 73.3 | 0.00 |
| 5 | 496.9 | 0.00 |
| 6 | 54.3 | 1.17 |
| 7 | 69.2 | 0.87 |
| 8 | 403.0 | 0.00 |
| 9 | 185.4 | 0.00 |
| 10 | 137.5 | 0.00 |
| 11 | 401.6 | 0.00 |
| 12 | 150.5 | 0.00 |
| 13 | 65.6 | 0.00 |
| 14 | 180.1 | 0.68 |
| 15 | 158.7 | 0.00 |
| 16 | 106.2 | 0.00 |
| 17 | 69.4 | 0.44 |
| 18 | 200.4 | 0.36 |
| 19 | 200.1 | 1.04 |
| 20 | 161.5 | 1.00 |
| 21 | 500.3 | 0.00 |
| 22 | 75.7 | 0.00 |
| 23 | 279.8 | 9.95 |
| 24 | 69.8 | 0.16 |
| 25 | 353.3 | 0.00 |